The following is a DFT calculation (PBE) of a geometry-optimized Ac2ErGe4Rh3 structure.

D(E_F)   0.59 states/eV per atom
E   -61.210 eV for the cell shown

a b c (Å): 4.3814 4.3814 11.2248
angles (deg): 90.00 90.00 90.00
Last column: nearest neighbours and their distance in Å.
Fractional coordinates of all 10 atoms:
Ac  0.0000  0.5000  0.2302  8 Ge 3.33-3.39, 4 Rh 3.36
Ac  0.5000  0.0000  0.7698  8 Ge 3.33-3.39, 4 Rh 3.36
Er  0.0000  0.0000  0.5000  4 Ge 2.84, 4 Rh 3.10
Ge  0.0000  0.0000  0.0000  4 Rh 2.53
Ge  0.0000  0.5000  0.6608  3 Rh 2.54-2.84, 2 Er 2.84
Ge  0.5000  0.0000  0.3392  3 Rh 2.54-2.84, 2 Er 2.84
Ge  0.5000  0.5000  0.0000  4 Rh 2.53
Rh  0.0000  0.5000  0.8866  5 Ge 2.53-2.54
Rh  0.5000  0.0000  0.1134  5 Ge 2.53-2.54
Rh  0.5000  0.5000  0.5000  4 Ge 2.84, 4 Er 3.10